VASP calculation (PBE+U) on an optimized crystal structure of VPbF2.

a = 9.109 Å, b = 9.109 Å, c = 9.109 Å
α = 21.15°, β = 21.15°, γ = 21.15°
Element x y z (fractional)
V1 0.000 0.000 0.000
Pb1 0.500 0.500 0.500
F1 0.368 0.368 0.368
F2 0.632 0.632 0.632

## Properties
Final energy ... -22.204 eV/f.u.